[1]
# LaPmTe2 GGA-PBE optimized geometry
# Energy relative to the elements, uncorrected (eV/f.u.): -5.5
# Calculated density (Mg/m³): 7.6
# Energy relative to the lowest polymorph listed for this composition (kJ per mole of atoms): 11.8
# Magnetic moment (μB/f.u.): 0.4
# DFT total energy (eV/atom): -5.3745
data_LaPmTe2
_space_group_name_H-M_alt 'F m -3 m'
_space_group_IT_number 225
_space_group_name_Hall '-F 4 2 3'
_cell_length_a 7.791
_cell_length_b 7.791
_cell_length_c 7.791
_cell_angle_alpha 90.00
_cell_angle_beta 90.00
_cell_angle_gamma 90.00
loop_
_atom_site_label
_atom_site_fract_x
_atom_site_fract_y
_atom_site_fract_z
La1 0.000 0.000 0.000
Pm1 0.000 0.000 0.500
Te1 0.250 0.250 0.250

=====

[2]
# NdPuCo2 GGA-PBE optimized geometry
# Calculated density (Mg/m³): 10.8
# Magnetic moment (μB/f.u.): 3.9
# Energy of formation from the pure elements (kcal/mol of atoms): 2.31
# DFT total energy (eV/atom): -8.2277
data_NdPuCo2
_space_group_name_H-M_alt 'P 4/m m m'
_space_group_IT_number 123
_space_group_name_Hall '-P 4 2'
_cell_length_a 4.810
_cell_length_b 4.810
_cell_length_c 3.374
_cell_angle_alpha 90.00
_cell_angle_beta 90.00
_cell_angle_gamma 90.00
loop_
_atom_site_label
_atom_site_fract_x
_atom_site_fract_y
_atom_site_fract_z
Nd1 0.000 0.000 0.000
Pu1 0.500 0.500 0.000
Co1 0.000 0.500 0.500

=====

[3]
# U2GaOs GGA-PBE optimized geometry
# Calculated density (Mg/m³): 15.9
# Magnetic moment (μB/f.u.): 0.0
# Energy of formation from the pure elements (kcal/mol of atoms): 3.47
# DFT total energy (eV/atom): -9.0579
data_U2GaOs
_space_group_name_H-M_alt 'C 1 2/m 1'
_space_group_IT_number 12
_cell_length_a 9.717
_cell_length_b 2.991
_cell_length_c 5.282
_cell_angle_alpha 90.00
_cell_angle_beta 90.70
_cell_angle_gamma 90.00
loop_
_space_group_symop_operation_xyz
'x,y,z'
'-x,-y,-z'
'-x,y,-z'
'x,-y,z'
'x+1/2,y+1/2,z'
'-x+1/2,-y+1/2,-z'
'-x+1/2,y+1/2,-z'
'x+1/2,-y+1/2,z'
loop_
_atom_site_label
_atom_site_fract_x
_atom_site_fract_y
_atom_site_fract_z
U1 0.235 0.000 0.275
Ga1 0.000 0.500 0.000
Os1 0.000 0.500 0.500

=====

[4]
# CaNbS2N GGA-PBE optimized geometry
# Energy relative to the elements, uncorrected (eV/f.u.): -4.8
# Calculated density (Mg/m³): 3.6
# Energy relative to the lowest polymorph listed for this composition (kJ per mole of atoms): 0.0
# Magnetic moment (μB/f.u.): 0.0
# DFT total energy (eV/atom): -6.6896
data_CaNbS2N
_space_group_name_H-M_alt 'P 4/m m m'
_space_group_IT_number 123
_space_group_name_Hall '-P 4 2'
_cell_length_a 4.960
_cell_length_b 4.960
_cell_length_c 3.956
_cell_angle_alpha 90.00
_cell_angle_beta 90.00
_cell_angle_gamma 90.00
loop_
_atom_site_label
_atom_site_fract_x
_atom_site_fract_y
_atom_site_fract_z
Ca1 0.000 0.000 0.000
Nb1 0.500 0.500 0.500
S1 0.000 0.500 0.500
N1 0.500 0.500 0.000

=====

[5]
# TaCdGaGe2 GGA-PBE optimized geometry
# Calculated density (Mg/m³): 6.9
# Energy relative to the lowest polymorph listed for this composition (kJ per mole of atoms): 88.6
# Magnetic moment (μB/f.u.): 0.0
# Energy of formation from the pure elements (kcal/mol of atoms): 33.74
# DFT total energy (eV/atom): -3.5429
data_TaCdGaGe2
_space_group_name_H-M_alt 'P 4/m m m'
_space_group_IT_number 123
_space_group_name_Hall '-P 4 2'
_cell_length_a 4.994
_cell_length_b 4.994
_cell_length_c 4.880
_cell_angle_alpha 90.00
_cell_angle_beta 90.00
_cell_angle_gamma 90.00
loop_
_atom_site_label
_atom_site_fract_x
_atom_site_fract_y
_atom_site_fract_z
Ta1 0.000 0.000 0.000
Cd1 0.500 0.500 0.500
Ga1 0.500 0.500 0.000
Ge1 0.000 0.500 0.500

=====

[6]
# Ba3MgNi GGA-PBE optimized geometry
# Calculated density (Mg/m³): 3.7
# Energy relative to the lowest polymorph listed for this composition (kJ per mole of atoms): 0.0
# Magnetic moment (μB/f.u.): 0.0
# Energy of formation from the pure elements (kcal/mol of atoms): 1.24
# DFT total energy (eV/atom): -2.5751
data_Ba3MgNi
_space_group_name_H-M_alt 'P m -3 m'
_space_group_IT_number 221
_space_group_name_Hall '-P 4 2 3'
_cell_length_a 6.071
_cell_length_b 6.071
_cell_length_c 6.071
_cell_angle_alpha 90.00
_cell_angle_beta 90.00
_cell_angle_gamma 90.00
loop_
_atom_site_label
_atom_site_fract_x
_atom_site_fract_y
_atom_site_fract_z
Ba1 0.000 0.000 0.500
Mg1 0.500 0.500 0.500
Ni1 0.000 0.000 0.000

=====

Among the records above, which one has the highest DFT total energy?
Ba3MgNi

=====

Which formula does entry 6 have?
Ba3MgNi

=====

Which of these has the highest calculated density?
U2GaOs